Entry 1:
The following is a DFT calculation (PBE) of an optimized crystal structure of MgTcSnP.

abc: 3.374 3.374 22.721
angles: 90.00 90.00 120.00
Sites, in units of the cell vectors:
1 P 0.000 0.000 0.376
2 P 0.333 0.667 0.042
3 P 0.667 0.333 0.709
4 Sn 0.333 0.667 0.894
5 Sn 0.667 0.333 0.561
6 Sn 0.000 0.000 0.227
7 Mg 0.333 0.667 0.454
8 Mg 0.667 0.333 0.120
9 Mg 0.000 0.000 0.787
10 Tc 0.000 0.000 0.650
11 Tc 0.333 0.667 0.317
12 Tc 0.667 0.333 0.983

Computed properties:
The calculation puts the polymorph energy (0 for the lowest one) at 0.000 eV per atom. The total energy comes out at -67.3 eV per cell. Its density of states at the Fermi level is 4.7 states/eV per cell.


Entry 2:
The following is a DFT calculation (PBE) of an optimized crystal structure of BaYReAs2.

abc: 5.010 5.344 5.010
angles: 90.00 90.00 90.00
Sites, in units of the cell vectors:
1 Re 0.000 0.000 0.000
2 Y 0.000 0.500 0.000
3 As 0.500 0.000 0.000
4 As 0.000 0.000 0.500
5 Ba 0.500 0.500 0.500

Computed properties:
The total energy comes out at -30.1 eV per cell. Its density of states at the Fermi level is 4.8 states/eV per cell.


Entry 3:
The following is a DFT calculation (PBE) of an optimized crystal structure of Tc5C.

abc: 4.732 4.732 6.433
angles: 76.47 76.47 34.48
Sites, in units of the cell vectors:
1 C 0.020 0.020 0.969
2 Tc 0.343 0.343 0.965
3 Tc 0.582 0.582 0.189
4 Tc 0.269 0.269 0.396
5 Tc 0.962 0.962 0.560
6 Tc 0.657 0.657 0.755

Computed properties:
The calculation puts the polymorph energy (0 for the lowest one) at 0.000 eV per atom. The total energy comes out at -60.4 eV per cell. Its density of states at the Fermi level is 4.6 states/eV per cell.


Entry 4:
The following is a DFT calculation (PBE) of an optimized crystal structure of LiMg2Ta.

abc: 5.063 5.063 5.063
angles: 128.90 128.90 75.18
Each line ends with the local moment (μB).
Sites, in units of the cell vectors:
1 Li 0.750 0.250 0.500  0.02
2 Mg 0.250 0.750 0.500  0.00
3 Mg 0.000 0.000 0.000  0.00
4 Ta 0.500 0.500 0.000  0.75

Computed properties:
The calculation puts the polymorph energy (0 for the lowest one) at 0.445 eV per atom. The total energy comes out at -14.6 eV per cell. Its density of states at the Fermi level is 3.4 states/eV per cell.


no.,formation enthalpy at 0 K (kJ/mol of formula units)
1,-101
2,8
3,65
4,227